P | A plane-wave DFT calculation with PBE-GGA was carried out for a relaxed structure of Tb4ErSc3.

Lattice parameters (Å, degrees): 6.076 7.032 10.918 90.00 90.00 90.00
Fractional coordinates of all 16 atoms:
Er 0.152 0.382 0.000
Er 0.652 0.618 0.500
Sc 0.651 0.618 0.000
Sc 0.980 0.618 0.251
Sc 0.980 0.618 0.749
Sc 0.480 0.382 0.751
Sc 0.480 0.382 0.249
Sc 0.151 0.382 0.500
Tb 0.484 0.868 0.245
Tb 0.984 0.132 0.255
Tb 0.984 0.132 0.745
Tb 0.138 0.869 0.000
Tb 0.648 0.133 0.000
Tb 0.484 0.868 0.755
Tb 0.638 0.131 0.500
Tb 0.148 0.867 0.500

=====

Q | A plane-wave DFT calculation with PBE-GGA was carried out for a relaxed structure of Tb4ErSc3.

Lattice parameters (Å, degrees): 5.564 5.812 8.288 111.19 109.61 90.00
Fractional coordinates of all 8 atoms:
Sc 0.000 0.500 0.000
Sc 0.874 0.924 0.748
Sc 0.126 0.076 0.252
Tb 0.629 0.681 0.257
Tb 0.371 0.319 0.743
Tb 0.249 0.690 0.497
Tb 0.751 0.310 0.503
Er 0.500 0.000 0.000

=====

Most stable one: P, least stable one: Q.

=====

P | A plane-wave DFT calculation with PBE-GGA was carried out for a relaxed structure of Tb7Er4Sc.

Lattice parameters (Å, degrees): 6.738 6.411 11.600 74.56 50.85 82.15
Fractional coordinates of all 12 atoms:
Er 0.701 0.836 0.688
Er 0.299 0.164 0.312
Er 0.471 0.345 0.719
Er 0.529 0.655 0.281
Tb 0.721 0.191 0.382
Tb 0.279 0.809 0.618
Tb 0.197 0.498 0.049
Tb 0.061 0.318 0.638
Tb 0.500 0.000 0.000
Tb 0.939 0.682 0.362
Tb 0.803 0.502 0.951
Sc 0.000 0.000 0.000

=====

Q | A plane-wave DFT calculation with PBE-GGA was carried out for a relaxed structure of Tb7Er4Sc.

Lattice parameters (Å, degrees): 5.788 8.555 9.455 61.18 72.18 70.23
Fractional coordinates of all 12 atoms:
Er 0.714 0.808 0.764
Er 0.286 0.192 0.236
Er 0.583 0.279 0.555
Er 0.417 0.721 0.445
Tb 0.714 0.451 0.121
Tb 0.072 0.566 0.290
Tb 0.500 0.000 0.000
Tb 0.286 0.549 0.879
Tb 0.170 0.036 0.623
Tb 0.830 0.964 0.377
Tb 0.928 0.434 0.710
Sc 0.000 0.000 0.000

=====

Most stable one: P, least stable one: Q.

=====

P | A plane-wave DFT calculation with PBE-GGA was carried out for a relaxed structure of Tb4ErSc5.

Lattice parameters (Å, degrees): 5.353 11.346 8.037 136.50 109.45 90.00
Fractional coordinates of all 10 atoms:
Tb 0.386 0.140 0.773
Tb 0.614 0.860 0.227
Tb 0.126 0.378 0.251
Tb 0.874 0.622 0.749
Er 0.500 0.000 0.000
Sc 0.840 0.892 0.680
Sc 0.500 0.500 0.000
Sc 0.152 0.706 0.303
Sc 0.160 0.108 0.320
Sc 0.848 0.294 0.697

=====

Q | A plane-wave DFT calculation with PBE-GGA was carried out for a relaxed structure of Tb4ErSc5.

Lattice parameters (Å, degrees): 5.595 7.727 7.727 82.47 68.77 68.77
Fractional coordinates of all 10 atoms:
Tb 0.460 0.679 0.321
Tb 0.781 0.679 0.679
Tb 0.460 0.321 0.679
Tb 0.139 0.321 0.321
Sc 0.130 0.000 0.621
Sc 0.751 0.379 0.000
Sc 0.751 0.000 0.379
Sc 0.130 0.621 0.000
Sc 0.694 0.000 0.000
Er 0.213 0.000 0.000

=====

Most stable one: Q, least stable one: P.